Entry from the Alexandria database: a geometry-optimized MgSiP2Cl structure (PBE-GGA).

Unit cell a=4.545 b=4.545 c=4.860 alpha=90.00 beta=90.00 gamma=90.00
Fractional positions:
1 Mg 0.500 0.500 0.500
2 Si 0.000 0.000 0.000
3 P 0.500 0.000 0.000
4 P 0.000 0.500 0.000
5 Cl 0.000 0.000 0.500

Output
Total magnetization in μB per formula unit: 0.0
Symmetry: No. 123
Uncorrected energy in eV per atom: -3.72
ΔE to the lowest computed polymorph in meV per atom: 0